# 1
## MoPt4 (PBE)

Data for a geometry-optimized MoPt4 structure.

Cell: 4.751 4.751 4.751 Å, 90.00 90.00 90.00°
Atoms (fractional coordinates):
Mo (0.500, 0.500, 0.500)
Pt (0.000, 0.000, 0.000)
Pt (0.500, 0.000, 0.500)
Pt (0.000, 0.500, 0.500)
Pt (0.500, 0.500, 0.000)

Properties
Magnetization (μB/cell): 0.000
Electronic total energy (eV per cell): -28.18
Energy of formation from the pure elements (kJ per mole of atoms): 131.5
Density (g/cm3): 13.57
SG: Pm-3m (221)
DOS(E_F) (states/eV per cell): 3.69



# 2
## MoPt (PBE)

Data for a geometry-optimized MoPt structure.

Cell: 5.373 5.373 10.888 Å, 140.63 140.63 29.58°
Atoms (fractional coordinates):
Mo (0.008, 0.008, 0.003)
Mo (0.107, 0.107, 0.718)
Mo (0.664, 0.664, 0.336)
Pt (0.336, 0.336, 0.668)
Pt (0.439, 0.439, 0.391)
Pt (0.779, 0.779, 0.051)

Properties
Magnetization (μB/cell): 0.000
Electronic total energy (eV per cell): -52.20
Energy of formation from the pure elements (kJ per mole of atoms): -25.5
Density (g/cm3): 15.56
SG: Cm (8)
DOS(E_F) (states/eV per cell): 3.28



# 3
## Mo3Pt5 (PBE)

Data for a geometry-optimized Mo3Pt5 structure.

Cell: 7.715 7.715 5.098 Å, 90.00 90.00 119.86°
Atoms (fractional coordinates):
Mo (0.985, 0.373, 0.750)
Mo (0.964, 0.490, 0.250)
Mo (0.510, 0.036, 0.750)
Mo (0.382, 0.455, 0.250)
Mo (0.627, 0.015, 0.250)
Mo (0.545, 0.618, 0.750)
Pt (0.015, 0.170, 0.250)
Pt (0.986, 0.736, 0.750)
Pt (0.263, 0.014, 0.250)
Pt (0.237, 0.202, 0.750)
Pt (0.295, 0.705, 0.000)
Pt (0.295, 0.705, 0.500)
Pt (0.634, 0.366, 0.000)
Pt (0.634, 0.366, 0.500)
Pt (0.830, 0.985, 0.750)
Pt (0.798, 0.763, 0.250)

Properties
Magnetization (μB/cell): 0.000
Electronic total energy (eV per cell): -124.96
Energy of formation from the pure elements (kJ per mole of atoms): 2.6
Density (g/cm3): 15.94
SG: Ama2 (40)
Energy relative to the lowest polymorph listed for this composition (kJ per mole of atoms): 24.5
DOS(E_F) (states/eV per cell): 13.89



# 4
## Mo2Pt3 (PBE)

Data for a geometry-optimized Mo2Pt3 structure.

Cell: 4.303 4.303 5.507 Å, 90.00 90.00 120.00°
Atoms (fractional coordinates):
Mo (0.667, 0.333, 0.146)
Mo (0.333, 0.667, 0.854)
Pt (0.000, 0.000, 0.000)
Pt (0.667, 0.333, 0.627)
Pt (0.333, 0.667, 0.373)

Properties
Magnetization (μB/cell): 0.000
Electronic total energy (eV per cell): -38.70
Energy of formation from the pure elements (kJ per mole of atoms): 20.9
Density (g/cm3): 14.61
SG: P-3m1 (164)
Energy relative to the lowest polymorph listed for this composition (kJ per mole of atoms): 34.4
DOS(E_F) (states/eV per cell): 6.09